# 1
Here is crystalline LaCe2Ge at its relaxed geometry from the Alexandria database. Energies are from PBE-GGA.

## Properties
D(E_F) (states/eV/atom): 2.38
Energy of formation from the pure elements (eV per atom): -0.357
Excess energy over the best structure of this formula in the dataset (eV per formula unit): 0.43
Space group: No. 123

Unit cell a=4.7910 b=4.6648 c=4.6648 alpha=90.00 beta=90.00 gamma=90.00
With the nearest neighbours (Å) after each atom.
Sites, in units of the cell vectors:
Ce 0.0000 0.5000 0.0000  4 Ce 3.30, 4 La 3.34, 4 Ge 3.34
Ce 0.0000 0.0000 0.5000  4 Ce 3.30, 4 La 3.34, 4 Ge 3.34
La 0.5000 0.5000 0.5000  4 Ge 3.30, 8 Ce 3.34
Ge 0.5000 0.0000 0.0000  4 La 3.30, 8 Ce 3.34

# 2
Here is crystalline CrNi2PdPb at its relaxed geometry from the Alexandria database. Energies are from PBE-GGA.

## Properties
D(E_F) (states/eV/atom): 1.18
Energy of formation from the pure elements (eV per atom): 1.015
Space group: No. 123

Unit cell a=4.2778 b=5.0575 c=4.2778 alpha=90.00 beta=90.00 gamma=90.00
With the nearest neighbours (Å) after each atom.
Sites, in units of the cell vectors:
Ni 0.0000 0.0000 0.5000  2 Cr 2.14
Ni 0.5000 0.0000 0.0000  2 Cr 2.14
Cr 0.0000 0.0000 0.0000  4 Ni 2.14
Pd 0.5000 0.5000 0.5000  4 Pb 3.02, 8 Ni 3.31
Pb 0.0000 0.5000 0.0000  2 Cr 2.53

# 3
Here is crystalline Rb3CePb2Se6 at its relaxed geometry from the Alexandria database. Energies are from PBE-GGA.

## Properties
D(E_F) (states/eV/atom): 0.60
Formation energy without anion corrections (eV/atom): -1.074
Space group: No. 12

Unit cell a=7.6224 b=7.6224 c=8.3890 alpha=98.69 beta=98.69 gamma=119.98
With the nearest neighbours (Å) after each atom.
Sites, in units of the cell vectors:
Se 0.2478 0.2478 0.7973  1 Ce 2.90, 2 Pb 3.07
Se 0.7522 0.7522 0.2027  1 Ce 2.90, 2 Pb 3.07
Se 0.6172 0.9333 0.7992  1 Ce 2.90, 2 Pb 3.06-3.07
Se 0.0667 0.3828 0.2008  1 Ce 2.90, 2 Pb 3.06-3.07
Se 0.9333 0.6172 0.7992  1 Ce 2.90, 2 Pb 3.06-3.07
Se 0.3828 0.0667 0.2008  1 Ce 2.90, 2 Pb 3.06-3.07
Rb 0.1728 0.8272 0.5000  6 Se 3.45-3.54
Rb 0.5000 0.5000 0.5000  6 Se 3.45-3.58
Rb 0.8272 0.1728 0.5000  6 Se 3.45-3.54
Pb 0.3342 0.6658 0.0000  6 Se 3.06-3.07
Pb 0.6658 0.3342 0.0000  6 Se 3.06-3.07
Ce 0.0000 0.0000 0.0000  6 Se 2.90

# 4
Here is crystalline Pm3CuC at its relaxed geometry from the Alexandria database. Energies are from PBE-GGA.

## Properties
D(E_F) (states/eV/atom): 0.89
Energy of formation from the pure elements (eV per atom): -0.080
Excess energy over the best structure of this formula in the dataset (eV per formula unit): 0.00
Space group: No. 14

Unit cell a=6.3438 b=9.2648 c=8.7675 alpha=114.89 beta=90.00 gamma=90.00
With the nearest neighbours (Å) after each atom.
Sites, in units of the cell vectors:
Pm 0.0909 0.0563 0.2025  2 C 2.53-2.55
Pm 0.4357 0.1383 0.9113  3 C 2.57-2.63
Pm 0.5909 0.4437 0.7975  2 C 2.53-2.55
Pm 0.9357 0.3617 0.0887  3 C 2.57-2.63
Pm 0.0643 0.6383 0.9113  3 C 2.57-2.63
Pm 0.8943 0.7687 0.3667  1 C 2.45
Pm 0.1057 0.2313 0.6333  1 C 2.45
Pm 0.3943 0.7313 0.6333  1 C 2.45
Pm 0.9091 0.9437 0.7975  2 C 2.53-2.55
Pm 0.5643 0.8617 0.0887  3 C 2.57-2.63
Pm 0.4091 0.5563 0.2025  2 C 2.53-2.55
Pm 0.6057 0.2687 0.3667  1 C 2.45
Cu 0.3441 0.9233 0.4270  1 Cu 2.46
Cu 0.6559 0.0767 0.5730  1 Cu 2.46
Cu 0.1559 0.4233 0.4270  1 Cu 2.46
Cu 0.8441 0.5767 0.5730  1 Cu 2.46
C 0.2520 0.8923 0.9146  6 Pm 2.45-2.63
C 0.2480 0.3923 0.9146  6 Pm 2.45-2.63
C 0.7480 0.1077 0.0854  6 Pm 2.45-2.63
C 0.7520 0.6077 0.0854  6 Pm 2.45-2.63

# 5
Here is crystalline Hf2ReSn at its relaxed geometry from the Alexandria database. Energies are from PBE-GGA.

## Properties
D(E_F) (states/eV/atom): 0.53
Energy of formation from the pure elements (eV per atom): -0.113
Space group: No. 166

Unit cell a=3.2646 b=3.2646 c=9.1843 alpha=79.76 beta=79.76 gamma=60.00
With the nearest neighbours (Å) after each atom.
Sites, in units of the cell vectors:
Re 0.0000 0.0000 0.0000  6 Hf 2.74
Hf 0.7403 0.7403 0.7791  3 Re 2.74
Hf 0.2597 0.2597 0.2209  3 Re 2.74
Sn 0.5000 0.5000 0.5000  6 Hf 3.14, 6 Sn 3.26

# 6
Here is crystalline PrTiP2Rh5 at its relaxed geometry from the Alexandria database. Energies are from PBE-GGA.

## Properties
D(E_F) (states/eV/atom): 0.47
Energy of formation from the pure elements (eV per atom): -0.748
Space group: No. 123

Unit cell a=4.0695 b=4.0695 c=9.8468 alpha=90.00 beta=90.00 gamma=90.00
With the nearest neighbours (Å) after each atom.
Sites, in units of the cell vectors:
P 0.5000 0.5000 0.7310  5 Rh 2.27-2.29
P 0.5000 0.5000 0.2690  5 Rh 2.27-2.29
Rh 0.5000 0.5000 0.5000  2 P 2.27
Rh 0.0000 0.5000 0.1633  2 P 2.29
Rh 0.5000 0.0000 0.8367  2 P 2.29
Rh 0.5000 0.0000 0.1633  2 P 2.29
Rh 0.0000 0.5000 0.8367  2 P 2.29
Ti 0.0000 0.0000 0.0000  8 Rh 2.59
Pr 0.0000 0.0000 0.5000  4 Rh 2.88

# 7
Here is crystalline LiAc2Mg6Cd at its relaxed geometry from the Alexandria database. Energies are from PBE-GGA.

## Properties
D(E_F) (states/eV/atom): 0.58
Energy of formation from the pure elements (eV per atom): -0.003
Space group: No. 12

Unit cell a=7.1244 b=7.5698 c=7.1178 alpha=62.06 beta=59.96 gamma=90.00
With the nearest neighbours (Å) after each atom.
Sites, in units of the cell vectors:
Mg 0.2423 0.1689 0.0753  1 Li 2.54, 1 Cd 2.77
Mg 0.6825 0.1690 0.0749  1 Li 2.54, 1 Cd 2.77
Mg 0.3175 0.8310 0.9251  1 Li 2.54, 1 Cd 2.77
Mg 0.2434 0.1692 0.5135  1 Li 2.54, 1 Cd 2.78
Mg 0.7566 0.8308 0.4865  1 Li 2.54, 1 Cd 2.78
Mg 0.7577 0.8311 0.9247  1 Li 2.54, 1 Cd 2.77
Ac 0.2169 0.6500 0.5662  12 Mg 3.74-3.84, 1 Li 4.14
Ac 0.7831 0.3500 0.4338  12 Mg 3.74-3.84, 1 Li 4.14
Cd 0.5000 0.5000 0.0000  6 Mg 2.77-2.78
Li 0.0000 0.0000 0.0000  6 Mg 2.54

# 8
Here is crystalline Cd2MoOs at its relaxed geometry from the Alexandria database. Energies are from PBE-GGA.

## Properties
D(E_F) (states/eV/atom): 0.98
Energy of formation from the pure elements (eV per atom): 0.637
Excess energy over the best structure of this formula in the dataset (eV per formula unit): 1.79
Space group: No. 123

Unit cell a=4.6086 b=3.8911 c=3.8911 alpha=90.00 beta=90.00 gamma=90.00
With the nearest neighbours (Å) after each atom.
Sites, in units of the cell vectors:
Cd 0.0000 0.0000 0.0000  4 Cd 2.75, 4 Os 3.02, 4 Mo 3.02
Cd 0.0000 0.5000 0.5000  4 Cd 2.75, 4 Mo 3.02, 4 Os 3.02
Mo 0.5000 0.5000 0.0000  4 Os 2.75, 8 Cd 3.02
Os 0.5000 0.0000 0.5000  4 Mo 2.75, 8 Cd 3.02

# 9
Here is crystalline KCaNi2 at its relaxed geometry from the Alexandria database. Energies are from PBE-GGA.

## Properties
D(E_F) (states/eV/atom): 0.56
Energy of formation from the pure elements (eV per atom): 0.626
Excess energy over the best structure of this formula in the dataset (eV per formula unit): 2.01
Space group: No. 71

Unit cell a=5.1552 b=5.1552 c=5.1552 alpha=125.59 beta=125.73 gamma=80.45
With the nearest neighbours (Å) after each atom.
Sites, in units of the cell vectors:
Ni 0.5002 0.5002 0.0000  4 K 3.06-3.07, 4 Ca 3.07, 4 Ni 3.33
Ni 0.9998 0.9998 0.0000  4 K 3.06-3.07, 4 Ca 3.07, 4 Ni 3.33
Ca 0.7500 0.2500 0.5000  8 Ni 3.07, 4 K 3.33
K 0.2500 0.7500 0.5000  8 Ni 3.06-3.07, 4 Ca 3.33

# 10
Here is crystalline Tb2ErCd at its relaxed geometry from the Alexandria database. Energies are from PBE-GGA.

## Properties
D(E_F) (states/eV/atom): 1.25
Energy of formation from the pure elements (eV per atom): -0.029
Excess energy over the best structure of this formula in the dataset (eV per formula unit): 0.45
Space group: No. 225

Unit cell a=5.4364 b=5.4364 c=5.4364 alpha=60.00 beta=60.00 gamma=60.00
With the nearest neighbours (Å) after each atom.
Sites, in units of the cell vectors:
Cd 0.5000 0.5000 0.5000  8 Tb 3.33
Tb 0.7500 0.7500 0.7500  4 Cd 3.33, 4 Er 3.33
Tb 0.2500 0.2500 0.2500  4 Cd 3.33, 4 Er 3.33
Er 0.0000 0.0000 0.0000  8 Tb 3.33

# 11
Here is crystalline Ba2ReMo at its relaxed geometry from the Alexandria database. Energies are from PBE-GGA.

## Properties
D(E_F) (states/eV/atom): 1.92
Energy of formation from the pure elements (eV per atom): 1.541
Excess energy over the best structure of this formula in the dataset (eV per formula unit): 4.16
Space group: No. 119

Unit cell a=5.2187 b=5.2187 c=5.2187 alpha=119.87 beta=119.87 gamma=90.22
With the nearest neighbours (Å) after each atom.
Sites, in units of the cell vectors:
Mo 0.5000 0.5000 0.0000  4 Ba 3.20, 4 Re 3.20
Ba 0.2500 0.7500 0.5000  4 Ba 3.20, 4 Mo 3.20
Ba 0.0000 0.0000 0.0000  4 Re 3.20, 4 Ba 3.20
Re 0.7500 0.2500 0.5000  4 Ba 3.20, 4 Mo 3.20

# 12
Here is crystalline AcErGaNi at its relaxed geometry from the Alexandria database. Energies are from PBE-GGA.

## Properties
D(E_F) (states/eV/atom): 1.02
Energy of formation from the pure elements (eV per atom): -0.280
Space group: No. 216

Unit cell a=5.1649 b=5.1649 c=5.1649 alpha=60.00 beta=60.00 gamma=60.00
With the nearest neighbours (Å) after each atom.
Sites, in units of the cell vectors:
Ga 0.2500 0.2500 0.2500  4 Ac 3.16, 4 Er 3.16
Ni 0.7500 0.7500 0.7500  4 Er 3.16, 4 Ac 3.16
Ac 0.0000 0.0000 0.0000  4 Ga 3.16, 4 Ni 3.16
Er 0.5000 0.5000 0.5000  4 Ni 3.16, 4 Ga 3.16

Please write out number 10 again, unchanged.
Here is crystalline Tb2ErCd at its relaxed geometry from the Alexandria database. Energies are from PBE-GGA.

## Properties
D(E_F) (states/eV/atom): 1.25
Energy of formation from the pure elements (eV per atom): -0.029
Excess energy over the best structure of this formula in the dataset (eV per formula unit): 0.45
Space group: No. 225

Unit cell a=5.4364 b=5.4364 c=5.4364 alpha=60.00 beta=60.00 gamma=60.00
With the nearest neighbours (Å) after each atom.
Sites, in units of the cell vectors:
Cd 0.5000 0.5000 0.5000  8 Tb 3.33
Tb 0.7500 0.7500 0.7500  4 Cd 3.33, 4 Er 3.33
Tb 0.2500 0.2500 0.2500  4 Cd 3.33, 4 Er 3.33
Er 0.0000 0.0000 0.0000  8 Tb 3.33